Entry 1:
KIr2Rh: PBEsol geometry, meta-GGA SCAN.

## Properties
Distance to the lowest polymorph of the same formula = 0.2963 eV per atom

a b c (Å): 5.5868 8.6276 2.6274
angles (deg): 90.00 90.00 90.00
Closest atoms and distances in Å follow each position.
Space group Cmmm (No. 65)
Asymmetric unit:
K  0.0000  0.0000  0.0000 (multiplicity 2)  2 K 2.63, 2 Rh 2.79, 8 Ir 2.89
Ir  0.2500  0.2500  0.5000 (multiplicity 4)  4 Ir 2.63-2.79, 4 K 2.89, 4 Rh 2.89
Rh  0.0000  0.5000  0.0000 (multiplicity 2)  2 Rh 2.63, 2 K 2.79, 8 Ir 2.89

=====

Entry 2:
FeHgRh3: PBEsol geometry, meta-GGA SCAN.

## Properties
E_tot = -36.61 eV per atom

a b c (Å): 4.3860 4.3860 4.3860
angles (deg): 90.00 90.00 90.00
Closest atoms and distances in Å follow each position.
Space group Pm-3m (No. 221)
Asymmetric unit:
Fe  0.0000  0.0000  0.0000 (multiplicity 1)  6 Rh 2.19
Hg  0.5000  0.5000  0.5000 (multiplicity 1)  12 Rh 3.10
Rh  0.0000  0.0000  0.5000 (multiplicity 3)  2 Fe 2.19

=====

Entry 3:
SrCa2P: PBEsol geometry, meta-GGA SCAN.

## Properties
E_tot = -13.72 eV per atom

a b c (Å): 4.1645 4.1645 30.7268
angles (deg): 90.00 90.00 120.00
Closest atoms and distances in Å follow each position.
Space group R-3m (No. 166, hexagonal axes)
Asymmetric unit:
Sr  0.0000  0.0000  0.0000 (multiplicity 3)  6 Sr 4.16, 6 Ca 4.39
Ca  0.0000  0.0000  0.2138 (multiplicity 6)  3 P 2.81
P  0.0000  0.0000  0.5000 (multiplicity 3)  6 Ca 2.81

=====

Entry 4:
ScCo2Te: PBEsol geometry, meta-GGA SCAN.

## Properties
Raw formation energy = -9 kJ per mole of atoms
Distance to the lowest polymorph of the same formula = 0.0845 eV per atom

a b c (Å): 3.1627 3.9684 5.3064
angles (deg): 90.00 90.00 90.00
Closest atoms and distances in Å follow each position.
Space group Pmmm (No. 47)
Asymmetric unit:
Sc  0.0000  0.0000  0.0000 (multiplicity 1)  8 Co 2.77, 4 Te 3.09
Co  0.5000  0.5000  0.2072 (multiplicity 2)  1 Co 2.20
Te  0.5000  0.0000  0.5000 (multiplicity 1)  4 Co 2.52

=====

Entry 5:
Cr2RuW: PBEsol geometry, meta-GGA SCAN.

## Properties
Distance to the lowest polymorph of the same formula = 0.0000 eV per atom

a b c (Å): 2.9833 4.1869 4.2335
angles (deg): 90.00 90.00 90.00
Closest atoms and distances in Å follow each position.
Space group Pmmm (No. 47)
Asymmetric unit:
Cr  0.0000  0.0000  0.0000 (multiplicity 1)  4 W 2.57, 4 Cr 2.59
Cr  0.5000  0.0000  0.5000 (multiplicity 1)  4 Ru 2.57, 4 Cr 2.59
Ru  0.0000  0.5000  0.5000 (multiplicity 1)  4 Cr 2.57, 4 W 2.59
W  0.5000  0.5000  0.0000 (multiplicity 1)  4 Cr 2.57, 4 Ru 2.59

=====

Entry 6:
Sr3ReBi: PBEsol geometry, meta-GGA SCAN.

## Properties
E_tot = -42.79 eV per atom

a b c (Å): 5.5622 5.5622 5.5622
angles (deg): 90.00 90.00 90.00
Closest atoms and distances in Å follow each position.
Space group Pm-3m (No. 221)
Asymmetric unit:
Sr  0.0000  0.0000  0.5000 (multiplicity 3)  2 Re 2.78
Re  0.0000  0.0000  0.0000 (multiplicity 1)  6 Sr 2.78
Bi  0.5000  0.5000  0.5000 (multiplicity 1)  12 Sr 3.93

=====

Entry 7:
AlSi2OsCl: PBEsol geometry, meta-GGA SCAN.

## Properties
Raw formation energy = 140 kJ per mole of atoms

a b c (Å): 4.7050 4.7050 4.6240
angles (deg): 90.00 90.00 90.00
Closest atoms and distances in Å follow each position.
Space group P4/mmm (No. 123)
Asymmetric unit:
Al  0.0000  0.0000  0.0000 (multiplicity 1)  2 Os 2.31, 4 Si 2.35
Si  0.0000  0.5000  0.0000 (multiplicity 2)  2 Al 2.35
Os  0.0000  0.0000  0.5000 (multiplicity 1)  2 Al 2.31
Cl  0.5000  0.5000  0.5000 (multiplicity 1)  8 Si 3.30, 4 Os 3.33

=====

Entry 8:
BiIrAu3: PBEsol geometry, meta-GGA SCAN.

## Properties
E_tot = -69.74 eV per atom

a b c (Å): 5.1114 5.1114 5.1114
angles (deg): 90.00 90.00 90.00
Closest atoms and distances in Å follow each position.
Space group Pm-3m (No. 221)
Asymmetric unit:
Bi  0.0000  0.0000  0.0000 (multiplicity 1)  6 Au 2.56
Ir  0.5000  0.5000  0.5000 (multiplicity 1)  12 Au 3.61
Au  0.0000  0.0000  0.5000 (multiplicity 3)  2 Bi 2.56

=====

Entry 9:
NaAsPtSe2: PBEsol geometry, meta-GGA SCAN.

## Properties
Raw formation energy = 131 kJ per mole of atoms

a b c (Å): 4.8219 4.8219 4.7699
angles (deg): 90.00 90.00 90.00
Closest atoms and distances in Å follow each position.
Space group P4/mmm (No. 123)
Asymmetric unit:
Na  0.0000  0.0000  0.0000 (multiplicity 1)  2 As 2.38, 4 Se 2.41
As  0.0000  0.0000  0.5000 (multiplicity 1)  2 Na 2.38
Pt  0.5000  0.5000  0.5000 (multiplicity 1)  8 Se 3.39, 4 As 3.41
Se  0.0000  0.5000  0.0000 (multiplicity 2)  2 Na 2.41

=====

Entry 10:
ScAs2PBr: PBEsol geometry, meta-GGA SCAN.

## Properties
Raw formation energy = 19 kJ per mole of atoms

a b c (Å): 4.7559 4.7559 4.8047
angles (deg): 90.00 90.00 90.00
Closest atoms and distances in Å follow each position.
Space group P4/mmm (No. 123)
Asymmetric unit:
Sc  0.0000  0.0000  0.0000 (multiplicity 1)  4 Br 3.36, 8 As 3.38
As  0.0000  0.5000  0.5000 (multiplicity 2)  2 P 2.38
P  0.5000  0.5000  0.5000 (multiplicity 1)  4 As 2.38, 2 Br 2.40
Br  0.5000  0.5000  0.0000 (multiplicity 1)  2 P 2.40

=====

Entry 11:
AsIF2: PBEsol geometry, meta-GGA SCAN.

## Properties
Raw formation energy = -86 kJ per mole of atoms
Distance to the lowest polymorph of the same formula = 0.0000 eV per atom

a b c (Å): 3.1000 3.1000 28.1557
angles (deg): 90.00 90.00 120.00
Closest atoms and distances in Å follow each position.
Space group R-3m (No. 166, hexagonal axes)
Asymmetric unit:
As  0.0000  0.0000  0.0000 (multiplicity 3)  2 F 1.84
I  0.0000  0.0000  0.5000 (multiplicity 3)  6 I 3.10, 6 F 3.37
F  0.0000  0.0000  0.0655 (multiplicity 6)  1 As 1.84

=====

Entry 12:
NaCdF3: PBEsol geometry, meta-GGA SCAN.

## Properties
Raw formation energy = -250 kJ per mole of atoms

a b c (Å): 5.7483 5.7483 15.0483
angles (deg): 90.00 90.00 120.00
Closest atoms and distances in Å follow each position.
Space group R3c (No. 161, hexagonal axes)
Asymmetric unit:
Na  0.0000  0.0000  0.0000 (multiplicity 6)  6 F 2.26-2.39
Cd  0.0000  0.0000  0.2883 (multiplicity 6)  6 F 2.21-2.28
F  0.0162  0.3037  0.3888 (multiplicity 18)  2 Cd 2.21-2.28, 2 Na 2.26-2.39